The following is a GGA-PBE calculation of crystalline MgCu5Cl12 at its relaxed geometry, from Alexandria via LeMat-Bulk.

Cell: 7.1147 10.0921 12.8527 Å, 90.00 93.46 90.00°
With the nearest neighbours (Å) after each atom.
Space group C2/m (No. 12)
Symmetry-distinct sites (fractional):
Mg: 0.0000 0.0000 0.0000 [2 per cell]  4 Cl 2.43
Cu: 0.0000 0.1669 0.5000 [4 per cell]  4 Cl 2.29
Cu: 0.0000 0.3323 0.0000 [4 per cell]  4 Cl 2.27-2.32
Cu: 0.0000 0.5000 0.5000 [2 per cell]  4 Cl 2.29
Cl: 0.0967 0.1769 0.8868 [8 per cell]  1 Cu 2.27, 1 Mg 2.43
Cl: 0.1156 0.0000 0.6068 [4 per cell]  2 Cu 2.29
Cl: 0.1161 0.3336 0.6066 [8 per cell]  2 Cu 2.29
Cl: 0.1372 0.5000 0.9074 [4 per cell]  2 Cu 2.32

DOS at the Fermi energy	0.13	states/eV/atom
electronic total energy	-3.167	eV per atom
uncorrected formation energy	-710	meV per atom



The following is a GGA-PBE calculation of crystalline MgCuCl2 at its relaxed geometry, from Alexandria via LeMat-Bulk.

Cell: 4.9440 3.3733 6.2921 Å, 90.00 109.77 90.00°
With the nearest neighbours (Å) after each atom.
Space group Pm (No. 6)
Symmetry-distinct sites (fractional):
Mg: 0.0000 0.0000 0.0000 [1 per cell]  3 Cl 2.44-2.46
Cu: 0.6210 0.5000 0.1199 [1 per cell]  3 Cl 2.39-2.57
Cl: 0.1476 0.5000 0.7821 [1 per cell]  2 Mg 2.44, 1 Cu 2.57
Cl: 0.4571 0.0000 0.3171 [1 per cell]  2 Cu 2.39, 1 Mg 2.46

DOS at the Fermi energy	0.17	states/eV/atom
electronic total energy	-3.085	eV per atom
uncorrected formation energy	-739	meV per atom



The following is a GGA-PBE calculation of crystalline MgCuN2Cl at its relaxed geometry, from Alexandria via LeMat-Bulk.

Cell: 4.0830 4.0830 5.1174 Å, 90.00 90.00 90.00°
With the nearest neighbours (Å) after each atom.
Space group P4/mmm (No. 123)
Symmetry-distinct sites (fractional):
Mg: 0.0000 0.0000 0.0000 [1 per cell]  4 N 2.04
Cu: 0.5000 0.5000 0.5000 [1 per cell]  4 Cl 2.89
N: 0.0000 0.5000 0.0000 [2 per cell]  2 Mg 2.04
Cl: 0.0000 0.0000 0.5000 [1 per cell]  2 Mg 2.56

DOS at the Fermi energy	0.26	states/eV/atom
electronic total energy	-3.641	eV per atom
uncorrected formation energy	1197	meV per atom



The following is a GGA-PBE calculation of crystalline NaMgCu2Cl6 at its relaxed geometry, from Alexandria via LeMat-Bulk.

Cell: 12.0381 11.6365 6.6284 Å, 90.00 98.65 90.00°
With the nearest neighbours (Å) after each atom.
Space group C2/c (No. 15)
Symmetry-distinct sites (fractional):
Na: 0.0000 0.0872 0.2500 [4 per cell]  6 Cl 2.77-2.84
Mg: 0.0000 0.2687 0.7500 [4 per cell]  6 Cl 2.46-2.61
Cu: 0.1821 0.4102 0.2998 [8 per cell]  4 Cl 2.27-2.35
Cl: 0.1148 0.2634 0.0902 [8 per cell]  1 Cu 2.27, 1 Mg 2.46
Cl: 0.1215 0.1059 0.6386 [8 per cell]  1 Cu 2.35, 1 Mg 2.57
Cl: 0.1319 0.4210 0.6219 [8 per cell]  2 Cu 2.31-2.32

DOS at the Fermi energy	0.96	states/eV/atom
electronic total energy	-3.351	eV per atom
uncorrected formation energy	-1132	meV per atom



The following is a GGA-PBE calculation of crystalline Na2MgCuCl5 at its relaxed geometry, from Alexandria via LeMat-Bulk.

Cell: 3.7858 16.6430 12.7668 Å, 90.00 90.00 90.00°
With the nearest neighbours (Å) after each atom.
Space group Cmc2_1 (No. 36)
Symmetry-distinct sites (fractional):
Na: 0.0000 0.0880 0.0000 [4 per cell]  6 Cl 2.81-3.14
Na: 0.0000 0.1260 0.6685 [4 per cell]  5 Cl 2.88-2.99
Mg: 0.0000 0.2174 0.3714 [4 per cell]  6 Cl 2.48-2.56
Cu: 0.0000 0.4449 0.7724 [4 per cell]  3 Cl 2.23-2.32
Cl: 0.0000 0.0649 0.3765 [4 per cell]  2 Cu 2.32, 1 Mg 2.54
Cl: 0.0000 0.2765 0.0059 [4 per cell]  2 Mg 2.56
Cl: 0.0000 0.2914 0.7373 [4 per cell]  2 Mg 2.56, 1 Cu 2.59
Cl: 0.0000 0.3652 0.3498 [4 per cell]  1 Mg 2.48
Cl: 0.0000 0.4973 0.1146 [4 per cell]  1 Cu 2.23

DOS at the Fermi energy	0.00	states/eV/atom
electronic total energy	-3.435	eV per atom
uncorrected formation energy	-1484	meV per atom



The following is a GGA-PBE calculation of crystalline Na2MgCuCl6 at its relaxed geometry, from Alexandria via LeMat-Bulk.

Cell: 6.3968 6.7258 11.8638 Å, 90.00 118.27 90.00°
With the nearest neighbours (Å) after each atom.
Space group P2_1/c (No. 14)
Symmetry-distinct sites (fractional):
Na: 0.2016 0.0842 0.2367 [4 per cell]  6 Cl 2.74-3.05
Mg: 0.5000 0.0000 0.0000 [2 per cell]  6 Cl 2.40-2.64
Cu: 0.0000 0.0000 0.5000 [2 per cell]  4 Cl 2.31-2.33
Cl: 0.1207 0.2117 0.9420 [4 per cell]  1 Cu 2.31
Cl: 0.2201 0.6851 0.9273 [4 per cell]  1 Cu 2.33
Cl: 0.4048 0.0363 0.7794 [4 per cell]  1 Mg 2.40

electronic total energy	-3.317	eV per atom
uncorrected formation energy	-1376	meV per atom



The following is a GGA-PBE calculation of crystalline MgCu2NiCl at its relaxed geometry, from Alexandria via LeMat-Bulk.

Cell: 4.7135 4.7135 4.5586 Å, 90.00 90.00 90.00°
With the nearest neighbours (Å) after each atom.
Space group P4/mmm (No. 123)
Symmetry-distinct sites (fractional):
Mg: 0.0000 0.0000 0.0000 [1 per cell]  2 Ni 2.28, 4 Cu 2.36
Cu: 0.0000 0.5000 0.0000 [2 per cell]  2 Mg 2.36
Ni: 0.0000 0.0000 0.5000 [1 per cell]  2 Mg 2.28
Cl: 0.5000 0.5000 0.5000 [1 per cell]  8 Cu 3.28, 4 Ni 3.33

DOS at the Fermi energy	0.69	states/eV/atom
electronic total energy	-2.479	eV per atom
uncorrected formation energy	1004	meV per atom



The following is a GGA-PBE calculation of crystalline MgCuP2Cl at its relaxed geometry, from Alexandria via LeMat-Bulk.

Cell: 4.3472 4.3472 5.5958 Å, 90.00 90.00 90.00°
With the nearest neighbours (Å) after each atom.
Space group P4/mmm (No. 123)
Symmetry-distinct sites (fractional):
Mg: 0.0000 0.0000 0.0000 [1 per cell]  4 Cl 3.07
Cu: 0.5000 0.5000 0.5000 [1 per cell]  4 P 2.17
P: 0.0000 0.5000 0.5000 [2 per cell]  2 Cu 2.17
Cl: 0.5000 0.5000 0.0000 [1 per cell]  2 Cu 2.80, 4 Mg 3.07

DOS at the Fermi energy	0.69	states/eV/atom
electronic total energy	-3.363	eV per atom
uncorrected formation energy	308	meV per atom



electronic total energy of number 6 (Na2MgCuCl6)? -3.317 eV per atom



The highest electronic total energy belongs to which entry? MgCu2NiCl